# Nd7DyHo3

A geometry-optimized Nd7DyHo3 structure (PBE-GGA, Alexandria via LeMat-Bulk).

Lattice parameters (Å, degrees): 8.576 8.576 8.576 139.67 96.89 96.76
Positions (direct):
Nd  0.000  0.000  0.000
Nd  0.097  0.790  0.307
Nd  0.291  0.500  0.791
Nd  0.483  0.790  0.693
Nd  0.517  0.210  0.307
Nd  0.709  0.500  0.209
Nd  0.903  0.210  0.693
Dy  0.000  0.500  0.500
Ho  0.296  0.296  0.000
Ho  0.500  0.000  0.500
Ho  0.704  0.704  0.000

## Properties
* energy relative to the elements: 0.2270 eV/atom
* total moment: 0.00 μB/f.u.
* space-group type: Immm
* offset from the most stable computed form: 0.045 eV per atom

# Nd8DyHo6

A geometry-optimized Nd8DyHo6 structure (PBE-GGA, Alexandria via LeMat-Bulk).

Lattice parameters (Å, degrees): 8.749 8.749 8.749 62.92 62.92 62.92
Positions (direct):
Nd  0.078  0.078  0.078
Nd  0.217  0.251  0.613
Nd  0.251  0.613  0.217
Nd  0.387  0.783  0.749
Nd  0.613  0.217  0.251
Nd  0.749  0.387  0.783
Nd  0.783  0.749  0.387
Nd  0.922  0.922  0.922
Dy  0.500  0.500  0.500
Ho  0.039  0.748  0.597
Ho  0.252  0.403  0.961
Ho  0.403  0.961  0.252
Ho  0.597  0.039  0.748
Ho  0.748  0.597  0.039
Ho  0.961  0.252  0.403

## Properties
* energy relative to the elements: 0.1249 eV/atom
* total moment: 0.01 μB/f.u.
* space-group type: R-3
* offset from the most stable computed form: 0.000 eV per atom

Number 1: total DFT energy (no corrections) -49.2 eV/cell. Number 2: total DFT energy (no corrections) -68.3 eV/cell.